Record 1
DFT (PBE-GGA) results for a relaxed Ho6TlSe3S2 crystal.

The structure in POSCAR format:
```
Ho6TlSe3S2
1.0
-3.584 -0.659 -1.568
-3.304 -0.188 7.630
1.252 8.890 -1.578
Tl Se S Ho
1 3 2 6
Direct
0.500 0.000 0.000
0.835 0.170 0.670
0.165 0.830 0.330
0.500 0.500 0.000
0.830 0.662 0.660
0.170 0.338 0.340
0.007 0.265 0.013
0.671 0.103 0.341
0.329 0.897 0.659
0.672 0.572 0.343
0.993 0.735 0.987
0.328 0.428 0.657
```

Results
Its symmetry is C2/m, No. 12. As for the raw formation energy: -1784 kJ/mol of formula units. As for the mass density: 8.714 g/cm³.



Record 2
DFT (PBE-GGA) results for a relaxed Ho6Tl3Se2S crystal.

The structure in POSCAR format:
```
Ho6Tl3Se2S
1.0
-3.157 4.545 -3.796
-3.267 -3.003 5.035
4.458 5.258 4.550
Ho Tl Se S
6 3 2 1
Direct
0.253 0.253 0.784
0.068 0.393 0.211
0.747 0.747 0.216
0.607 0.932 0.789
0.932 0.607 0.789
0.393 0.068 0.211
0.827 0.173 0.500
0.173 0.827 0.500
0.500 0.500 0.500
0.335 0.665 0.000
0.665 0.335 0.000
0.000 0.000 0.000
```

Results
Its symmetry is C2/m, No. 12. As for the raw formation energy: -1239 kJ/mol of formula units. As for the mass density: 9.582 g/cm³.



Record 3
DFT (PBE-GGA) results for a relaxed Ho4TlSe2S crystal.

The structure in POSCAR format:
```
Ho4TlSe2S
1.0
4.016 0.000 0.000
0.000 7.175 0.176
0.000 -2.459 6.749
Ho S Tl Se
4 1 1 2
Direct
0.500 0.764 0.760
0.500 0.236 0.240
0.000 0.763 0.256
0.000 0.237 0.744
0.000 0.000 0.000
0.500 0.500 0.000
0.000 0.500 0.500
0.500 0.000 0.500
```

Results
Its symmetry is P2/m, No. 10. As for the raw formation energy: -1074 kJ/mol of formula units. As for the mass density: 8.921 g/cm³.